A geometry-optimized ErCoSn4 structure. Source: Alexandria, functional PBE-GGA.

Cell and atoms, written as CIF:
```
data_ErCoSn4
_cell_length_a 14.536
_cell_length_b 14.536
_cell_length_c 4.383
_cell_angle_alpha 90.00
_cell_angle_beta 90.00
_cell_angle_gamma 162.68
_symmetry_space_group_name_H-M 'P 1'
_symmetry_Int_Tables_number 1
_symmetry_space_group_name_Hall 'P 1'
loop_
_atom_site_label
_atom_site_type_symbol
_atom_site_fract_x
_atom_site_fract_y
_atom_site_fract_z
_atom_site_occupancy
Er1 Er 0.193 0.807 0.000 1
Er2 Er 0.807 0.193 0.000 1
Co1 Co 0.450 0.550 0.500 1
Co2 Co 0.550 0.450 0.500 1
Sn1 Sn 0.000 0.000 0.500 1
Sn2 Sn 0.108 0.892 0.500 1
Sn3 Sn 0.286 0.714 0.500 1
Sn4 Sn 0.392 0.608 0.000 1
Sn5 Sn 0.500 0.500 0.000 1
Sn6 Sn 0.608 0.392 0.000 1
Sn7 Sn 0.714 0.286 0.500 1
Sn8 Sn 0.892 0.108 0.500 1
```

## Properties
Total DFT energy (no corrections) ... -4.91 eV per atom
Spin magnetization ... 0.00 Bohr magnetons per cell
N(E_F) ... 5.29 states/eV/cell
E above lowest polymorph ... 0.0 meV/atom


A geometry-optimized ErCo6Sn12 structure. Source: Alexandria, functional PBE-GGA.

Cell and atoms, written as CIF:
```
data_ErCo6Sn12
_cell_length_a 7.728
_cell_length_b 7.728
_cell_length_c 7.728
_cell_angle_alpha 106.52
_cell_angle_beta 106.52
_cell_angle_gamma 106.52
_symmetry_space_group_name_H-M 'P 1'
_symmetry_Int_Tables_number 1
_symmetry_space_group_name_Hall 'P 1'
loop_
_atom_site_label
_atom_site_type_symbol
_atom_site_fract_x
_atom_site_fract_y
_atom_site_fract_z
_atom_site_occupancy
Er1 Er 0.000 0.000 0.000 1
Co1 Co 0.276 0.276 0.693 1
Co2 Co 0.276 0.693 0.276 1
Co3 Co 0.307 0.724 0.724 1
Co4 Co 0.693 0.276 0.276 1
Co5 Co 0.724 0.307 0.724 1
Co6 Co 0.724 0.724 0.307 1
Sn1 Sn 0.123 0.500 0.877 1
Sn2 Sn 0.123 0.877 0.500 1
Sn3 Sn 0.148 0.404 0.404 1
Sn4 Sn 0.404 0.148 0.404 1
Sn5 Sn 0.404 0.404 0.148 1
Sn6 Sn 0.500 0.123 0.877 1
Sn7 Sn 0.500 0.877 0.123 1
Sn8 Sn 0.596 0.596 0.852 1
Sn9 Sn 0.596 0.852 0.596 1
Sn10 Sn 0.852 0.596 0.596 1
Sn11 Sn 0.877 0.123 0.500 1
Sn12 Sn 0.877 0.500 0.123 1
```

## Properties
Total DFT energy (no corrections) ... -4.94 eV per atom
Spin magnetization ... 0.00 Bohr magnetons per cell
N(E_F) ... 18.45 states/eV/cell


A geometry-optimized ErCoSn2 structure. Source: Alexandria, functional PBE-GGA.

Cell and atoms, written as CIF:
```
data_ErCoSn2
_cell_length_a 9.815
_cell_length_b 9.815
_cell_length_c 9.815
_cell_angle_alpha 154.00
_cell_angle_beta 123.23
_cell_angle_gamma 63.47
_symmetry_space_group_name_H-M 'P 1'
_symmetry_Int_Tables_number 1
_symmetry_space_group_name_Hall 'P 1'
loop_
_atom_site_label
_atom_site_type_symbol
_atom_site_fract_x
_atom_site_fract_y
_atom_site_fract_z
_atom_site_occupancy
Er1 Er 0.209 0.209 0.000 1
Er2 Er 0.229 0.000 0.229 1
Er3 Er 0.771 0.000 0.771 1
Er4 Er 0.791 0.791 0.000 1
Co1 Co 0.103 0.355 0.748 1
Co2 Co 0.393 0.645 0.748 1
Co3 Co 0.607 0.355 0.252 1
Co4 Co 0.897 0.645 0.252 1
Sn1 Sn 0.083 0.583 0.500 1
Sn2 Sn 0.136 0.802 0.334 1
Sn3 Sn 0.414 0.414 0.000 1
Sn4 Sn 0.468 0.802 0.666 1
Sn5 Sn 0.532 0.198 0.334 1
Sn6 Sn 0.586 0.586 0.000 1
Sn7 Sn 0.864 0.198 0.666 1
Sn8 Sn 0.917 0.417 0.500 1
```

## Properties
Total DFT energy (no corrections) ... -5.33 eV per atom
Spin magnetization ... 0.00 Bohr magnetons per cell
N(E_F) ... 8.89 states/eV/cell


A geometry-optimized ErCoSn2 structure. Source: Alexandria, functional PBE-GGA.

Cell and atoms, written as CIF:
```
data_ErCoSn2
_cell_length_a 4.328
_cell_length_b 4.328
_cell_length_c 15.841
_cell_angle_alpha 90.00
_cell_angle_beta 90.00
_cell_angle_gamma 120.00
_symmetry_space_group_name_H-M 'P 1'
_symmetry_Int_Tables_number 1
_symmetry_space_group_name_Hall 'P 1'
loop_
_atom_site_label
_atom_site_type_symbol
_atom_site_fract_x
_atom_site_fract_y
_atom_site_fract_z
_atom_site_occupancy
Er1 Er 0.000 0.000 0.000 1
Er2 Er 0.333 0.667 0.667 1
Er3 Er 0.667 0.333 0.333 1
Co1 Co 0.000 0.000 0.500 1
Co2 Co 0.333 0.667 0.167 1
Co3 Co 0.667 0.333 0.833 1
Sn1 Sn 0.000 0.000 0.223 1
Sn2 Sn 0.000 0.000 0.777 1
Sn3 Sn 0.333 0.667 0.444 1
Sn4 Sn 0.333 0.667 0.889 1
Sn5 Sn 0.667 0.333 0.111 1
Sn6 Sn 0.667 0.333 0.556 1
```

## Properties
Total DFT energy (no corrections) ... -5.23 eV per atom
Spin magnetization ... 0.03 Bohr magnetons per cell
N(E_F) ... 8.26 states/eV/cell


A geometry-optimized Er12Co6Sn structure. Source: Alexandria, functional PBE-GGA.

Cell and atoms, written as CIF:
```
data_Er12Co6Sn
_cell_length_a 8.280
_cell_length_b 8.280
_cell_length_c 8.280
_cell_angle_alpha 109.47
_cell_angle_beta 109.47
_cell_angle_gamma 109.47
_symmetry_space_group_name_H-M 'P 1'
_symmetry_Int_Tables_number 1
_symmetry_space_group_name_Hall 'P 1'
loop_
_atom_site_label
_atom_site_type_symbol
_atom_site_fract_x
_atom_site_fract_y
_atom_site_fract_z
_atom_site_occupancy
Er1 Er 0.108 0.303 0.805 1
Er2 Er 0.195 0.497 0.303 1
Er3 Er 0.195 0.892 0.697 1
Er4 Er 0.303 0.195 0.497 1
Er5 Er 0.303 0.805 0.108 1
Er6 Er 0.497 0.303 0.195 1
Er7 Er 0.503 0.697 0.805 1
Er8 Er 0.697 0.195 0.892 1
Er9 Er 0.697 0.805 0.503 1
Er10 Er 0.805 0.108 0.303 1
Er11 Er 0.805 0.503 0.697 1
Er12 Er 0.892 0.697 0.195 1
Co1 Co 0.114 0.500 0.614 1
Co2 Co 0.386 0.886 0.500 1
Co3 Co 0.500 0.386 0.886 1
Co4 Co 0.500 0.614 0.114 1
Co5 Co 0.614 0.114 0.500 1
Co6 Co 0.886 0.500 0.386 1
Sn1 Sn 0.000 0.000 0.000 1
```

## Properties
Total DFT energy (no corrections) ... -5.65 eV per atom
Spin magnetization ... 0.00 Bohr magnetons per cell
N(E_F) ... 9.07 states/eV/cell


A geometry-optimized Er6CoSn3 structure. Source: Alexandria, functional PBE-GGA.

Cell and atoms, written as CIF:
```
data_Er6CoSn3
_cell_length_a 9.214
_cell_length_b 9.214
_cell_length_c 7.164
_cell_angle_alpha 90.00
_cell_angle_beta 90.00
_cell_angle_gamma 102.19
_symmetry_space_group_name_H-M 'P 1'
_symmetry_Int_Tables_number 1
_symmetry_space_group_name_Hall 'P 1'
loop_
_atom_site_label
_atom_site_type_symbol
_atom_site_fract_x
_atom_site_fract_y
_atom_site_fract_z
_atom_site_occupancy
Er1 Er 0.009 0.991 0.500 1
Er2 Er 0.096 0.607 0.412 1
Er3 Er 0.238 0.762 0.946 1
Er4 Er 0.307 0.372 0.944 1
Er5 Er 0.372 0.307 0.444 1
Er6 Er 0.393 0.904 0.412 1
Er7 Er 0.607 0.096 0.912 1
Er8 Er 0.628 0.693 0.944 1
Er9 Er 0.693 0.628 0.444 1
Er10 Er 0.762 0.238 0.446 1
Er11 Er 0.904 0.393 0.912 1
Er12 Er 0.991 0.009 0.000 1
Co1 Co 0.137 0.863 0.241 1
Co2 Co 0.863 0.137 0.741 1
Sn1 Sn 0.072 0.295 0.250 1
Sn2 Sn 0.295 0.072 0.750 1
Sn3 Sn 0.387 0.613 0.633 1
Sn4 Sn 0.613 0.387 0.133 1
Sn5 Sn 0.705 0.928 0.250 1
Sn6 Sn 0.928 0.705 0.750 1
```

## Properties
Total DFT energy (no corrections) ... -4.91 eV per atom
Spin magnetization ... 0.00 Bohr magnetons per cell
N(E_F) ... 17.79 states/eV/cell


A geometry-optimized ErCo3Sn5 structure. Source: Alexandria, functional PBE-GGA.

Cell and atoms, written as CIF:
```
data_ErCo3Sn5
_cell_length_a 7.093
_cell_length_b 7.093
_cell_length_c 9.407
_cell_angle_alpha 113.50
_cell_angle_beta 113.50
_cell_angle_gamma 76.54
_symmetry_space_group_name_H-M 'P 1'
_symmetry_Int_Tables_number 1
_symmetry_space_group_name_Hall 'P 1'
loop_
_atom_site_label
_atom_site_type_symbol
_atom_site_fract_x
_atom_site_fract_y
_atom_site_fract_z
_atom_site_occupancy
Er1 Er 0.095 0.095 0.303 1
Er2 Er 0.905 0.905 0.697 1
Co1 Co 0.000 0.000 0.000 1
Co2 Co 0.000 0.000 0.500 1
Co3 Co 0.309 0.309 0.821 1
Co4 Co 0.354 0.354 0.346 1
Co5 Co 0.646 0.646 0.654 1
Co6 Co 0.691 0.691 0.179 1
Sn1 Sn 0.062 0.619 0.339 1
Sn2 Sn 0.240 0.240 0.035 1
Sn3 Sn 0.296 0.704 0.000 1
Sn4 Sn 0.381 0.938 0.661 1
Sn5 Sn 0.418 0.418 0.645 1
Sn6 Sn 0.582 0.582 0.355 1
Sn7 Sn 0.619 0.062 0.339 1
Sn8 Sn 0.704 0.296 0.000 1
Sn9 Sn 0.760 0.760 0.965 1
Sn10 Sn 0.938 0.381 0.661 1
```

## Properties
Total DFT energy (no corrections) ... -5.22 eV per atom
Spin magnetization ... 0.00 Bohr magnetons per cell
N(E_F) ... 8.07 states/eV/cell


A geometry-optimized ErCo4Sn structure. Source: Alexandria, functional PBE-GGA.

Cell and atoms, written as CIF:
```
data_ErCo4Sn
_cell_length_a 4.977
_cell_length_b 4.977
_cell_length_c 4.977
_cell_angle_alpha 60.00
_cell_angle_beta 60.00
_cell_angle_gamma 60.00
_symmetry_space_group_name_H-M 'P 1'
_symmetry_Int_Tables_number 1
_symmetry_space_group_name_Hall 'P 1'
loop_
_atom_site_label
_atom_site_type_symbol
_atom_site_fract_x
_atom_site_fract_y
_atom_site_fract_z
_atom_site_occupancy
Er1 Er 0.000 0.000 0.000 1
Co1 Co 0.375 0.375 0.375 1
Co2 Co 0.375 0.375 0.874 1
Co3 Co 0.375 0.874 0.375 1
Co4 Co 0.874 0.375 0.375 1
Sn1 Sn 0.750 0.750 0.750 1
```

## Properties
Total DFT energy (no corrections) ... -6.33 eV per atom
Spin magnetization ... 4.99 Bohr magnetons per cell
N(E_F) ... 9.58 states/eV/cell


A geometry-optimized Er5Co2Sn structure. Source: Alexandria, functional PBE-GGA.

Cell and atoms, written as CIF:
```
data_Er5Co2Sn
_cell_length_a 8.536
_cell_length_b 8.536
_cell_length_c 8.536
_cell_angle_alpha 127.60
_cell_angle_beta 127.60
_cell_angle_gamma 77.28
_symmetry_space_group_name_H-M 'P 1'
_symmetry_Int_Tables_number 1
_symmetry_space_group_name_Hall 'P 1'
loop_
_atom_site_label
_atom_site_type_symbol
_atom_site_fract_x
_atom_site_fract_y
_atom_site_fract_z
_atom_site_occupancy
Er1 Er 0.000 0.000 0.000 1
Er2 Er 0.028 0.528 0.821 1
Er3 Er 0.208 0.028 0.500 1
Er4 Er 0.292 0.792 0.821 1
Er5 Er 0.472 0.292 0.500 1
Er6 Er 0.500 0.500 0.000 1
Er7 Er 0.528 0.708 0.500 1
Er8 Er 0.708 0.208 0.179 1
Er9 Er 0.792 0.972 0.500 1
Er10 Er 0.972 0.472 0.179 1
Co1 Co 0.133 0.367 0.500 1
Co2 Co 0.367 0.867 0.234 1
Co3 Co 0.633 0.133 0.766 1
Co4 Co 0.867 0.633 0.500 1
Sn1 Sn 0.250 0.250 0.000 1
Sn2 Sn 0.750 0.750 0.000 1
```

## Properties
Total DFT energy (no corrections) ... -5.49 eV per atom
Spin magnetization ... 0.00 Bohr magnetons per cell
N(E_F) ... 19.05 states/eV/cell


A geometry-optimized ErCo4Sn4 structure. Source: Alexandria, functional PBE-GGA.

Cell and atoms, written as CIF:
```
data_ErCo4Sn4
_cell_length_a 8.289
_cell_length_b 8.289
_cell_length_c 5.158
_cell_angle_alpha 90.00
_cell_angle_beta 90.00
_cell_angle_gamma 90.00
_symmetry_space_group_name_H-M 'P 1'
_symmetry_Int_Tables_number 1
_symmetry_space_group_name_Hall 'P 1'
loop_
_atom_site_label
_atom_site_type_symbol
_atom_site_fract_x
_atom_site_fract_y
_atom_site_fract_z
_atom_site_occupancy
Er1 Er 0.250 0.250 0.250 1
Er2 Er 0.750 0.750 0.750 1
Co1 Co 0.055 0.599 0.643 1
Co2 Co 0.099 0.945 0.143 1
Co3 Co 0.401 0.555 0.143 1
Co4 Co 0.445 0.901 0.643 1
Co5 Co 0.555 0.099 0.357 1
Co6 Co 0.599 0.445 0.857 1
Co7 Co 0.901 0.055 0.857 1
Co8 Co 0.945 0.401 0.357 1
Sn1 Sn 0.094 0.635 0.144 1
Sn2 Sn 0.135 0.906 0.644 1
Sn3 Sn 0.365 0.594 0.644 1
Sn4 Sn 0.406 0.865 0.144 1
Sn5 Sn 0.594 0.135 0.856 1
Sn6 Sn 0.635 0.406 0.356 1
Sn7 Sn 0.865 0.094 0.356 1
Sn8 Sn 0.906 0.365 0.856 1
```

## Properties
Total DFT energy (no corrections) ... -5.38 eV per atom
Spin magnetization ... 0.00 Bohr magnetons per cell
N(E_F) ... 18.48 states/eV/cell


A geometry-optimized Er5CoSn2 structure. Source: Alexandria, functional PBE-GGA.

Cell and atoms, written as CIF:
```
data_Er5CoSn2
_cell_length_a 8.216
_cell_length_b 8.216
_cell_length_c 13.212
_cell_angle_alpha 90.00
_cell_angle_beta 90.00
_cell_angle_gamma 140.56
_symmetry_space_group_name_H-M 'P 1'
_symmetry_Int_Tables_number 1
_symmetry_space_group_name_Hall 'P 1'
loop_
_atom_site_label
_atom_site_type_symbol
_atom_site_fract_x
_atom_site_fract_y
_atom_site_fract_z
_atom_site_occupancy
Er1 Er 0.052 0.948 0.619 1
Er2 Er 0.052 0.948 0.881 1
Er3 Er 0.279 0.721 0.601 1
Er4 Er 0.279 0.721 0.899 1
Er5 Er 0.298 0.702 0.250 1
Er6 Er 0.702 0.298 0.750 1
Er7 Er 0.721 0.279 0.101 1
Er8 Er 0.721 0.279 0.399 1
Er9 Er 0.948 0.052 0.119 1
Er10 Er 0.948 0.052 0.381 1
Co1 Co 0.169 0.831 0.750 1
Co2 Co 0.831 0.169 0.250 1
Sn1 Sn 0.144 0.856 0.084 1
Sn2 Sn 0.144 0.856 0.416 1
Sn3 Sn 0.856 0.144 0.584 1
Sn4 Sn 0.856 0.144 0.916 1
```

## Properties
Total DFT energy (no corrections) ... -4.80 eV per atom
Spin magnetization ... 0.00 Bohr magnetons per cell
N(E_F) ... 14.47 states/eV/cell


A geometry-optimized Er2CoSn structure. Source: Alexandria, functional PBE-GGA.

Cell and atoms, written as CIF:
```
data_Er2CoSn
_cell_length_a 8.825
_cell_length_b 8.825
_cell_length_c 6.034
_cell_angle_alpha 90.00
_cell_angle_beta 90.00
_cell_angle_gamma 125.78
_symmetry_space_group_name_H-M 'P 1'
_symmetry_Int_Tables_number 1
_symmetry_space_group_name_Hall 'P 1'
loop_
_atom_site_label
_atom_site_type_symbol
_atom_site_fract_x
_atom_site_fract_y
_atom_site_fract_z
_atom_site_occupancy
Er1 Er 0.075 0.425 0.750 1
Er2 Er 0.127 0.873 0.761 1
Er3 Er 0.373 0.627 0.261 1
Er4 Er 0.425 0.075 0.250 1
Er5 Er 0.575 0.925 0.750 1
Er6 Er 0.627 0.373 0.739 1
Er7 Er 0.873 0.127 0.239 1
Er8 Er 0.925 0.575 0.250 1
Co1 Co 0.054 0.946 0.204 1
Co2 Co 0.446 0.554 0.704 1
Co3 Co 0.554 0.446 0.296 1
Co4 Co 0.946 0.054 0.796 1
Sn1 Sn 0.229 0.229 0.500 1
Sn2 Sn 0.271 0.271 0.000 1
Sn3 Sn 0.729 0.729 0.000 1
Sn4 Sn 0.771 0.771 0.500 1
```

## Properties
Total DFT energy (no corrections) ... -5.30 eV per atom
Spin magnetization ... 0.00 Bohr magnetons per cell
N(E_F) ... 19.29 states/eV/cell
E above lowest polymorph ... 179.0 meV/atom


What is the total DFT energy (no corrections) in the fourth record?
-5.23 eV per atom


Which of these has the highest N(E_F)?
Er2CoSn